Record 1
First-principles (GGA-PBE) data for a relaxed Zn2CuRh crystal, as listed in the Alexandria database.

Unit cell a=2.847 b=4.553 c=8.625 alpha=90.00 beta=90.00 gamma=90.00
Space group Cmm2 (No. 35)
Asymmetric unit:
Zn 0.000 0.000 0.000 (multiplicity 2)
Zn 0.000 0.500 0.263 (multiplicity 2)
Cu 0.000 0.000 0.503 (multiplicity 2)
Rh 0.000 0.500 0.753 (multiplicity 2)

=====

Record 2
First-principles (GGA-PBE) data for a relaxed Zn2CuRh crystal, as listed in the Alexandria database.

Unit cell a=3.050 b=3.050 c=5.803 alpha=90.00 beta=90.00 gamma=90.00
Space group P4/mmm (No. 123)
Asymmetric unit:
Zn 0.000 0.000 0.247 (multiplicity 2)
Cu 0.500 0.500 0.000 (multiplicity 1)
Rh 0.500 0.500 0.500 (multiplicity 1)

=====

Record 3
First-principles (GGA-PBE) data for a relaxed Zn3Cu3Rh2 crystal, as listed in the Alexandria database.

Unit cell a=3.804 b=3.903 c=7.138 alpha=90.00 beta=90.00 gamma=90.00
Space group Pmmm (No. 47)
Asymmetric unit:
Zn 0.000 0.000 0.000 (multiplicity 1)
Zn 0.000 0.000 0.500 (multiplicity 1)
Zn 0.500 0.500 0.000 (multiplicity 1)
Cu 0.000 0.500 0.255 (multiplicity 2)
Cu 0.500 0.500 0.500 (multiplicity 1)
Rh 0.500 0.000 0.247 (multiplicity 2)

=====

Record 4
First-principles (GGA-PBE) data for a relaxed ZnCuRh crystal, as listed in the Alexandria database.

Unit cell a=3.025 b=3.025 c=8.757 alpha=90.00 beta=90.00 gamma=90.00
Space group I4mm (No. 107)
Asymmetric unit:
Zn 0.000 0.000 0.000 (multiplicity 2)
Cu 0.000 0.000 0.342 (multiplicity 2)
Rh 0.000 0.000 0.669 (multiplicity 2)

=====

Record 5
First-principles (GGA-PBE) data for a relaxed Zn8CuRh2 crystal, as listed in the Alexandria database.

Unit cell a=4.151 b=6.262 c=12.250 alpha=90.00 beta=90.00 gamma=90.00
Space group Immm (No. 71)
Asymmetric unit:
Zn 0.000 0.000 0.160 (multiplicity 4)
Zn 0.000 0.215 0.359 (multiplicity 8)
Zn 0.000 0.296 0.000 (multiplicity 4)
Cu 0.000 0.500 0.500 (multiplicity 2)
Rh 0.000 0.500 0.199 (multiplicity 4)

=====

Record 6
First-principles (GGA-PBE) data for a relaxed Zn2CuRh crystal, as listed in the Alexandria database.

Unit cell a=5.999 b=5.999 c=5.999 alpha=90.00 beta=90.00 gamma=90.00
Space group Fm-3m (No. 225)
Asymmetric unit:
Zn 0.250 0.250 0.250 (multiplicity 8)
Cu 0.000 0.000 0.000 (multiplicity 4)
Rh 0.000 0.000 0.500 (multiplicity 4)

=====

no.,V (Å³/f.u.),energy (eV/cell)
1,55.9,-28.08
2,54.0,-15.05
3,106.0,-32.95
4,40.1,-26.38
5,159.2,-62.34
6,54.0,-60.34